Below is a geometry-optimized SrPmAu structure, with properties calculated at the PBE level.

abc: 5.077 5.077 5.077
angles: 60.00 60.00 60.00
Element x y z (fractional)
1 Sr 0.000 0.000 0.000
2 Pm 0.750 0.750 0.750
3 Au 0.500 0.500 0.500

Computed properties:
For the magnetic moment, the calculation gives 0.00 μB/atom. As for the total energy: -3.103 eV per atom. The space group is F-43m (216).